A plane-wave DFT calculation with PBE was carried out for an optimized crystal structure of NdHo2ScS6.

- ΔE_f (raw) (eV/atom) = -1.99
- magnetization (μB/atom) = 0.00

```
NdHo2ScS6
1.0
-5.032 0.587 4.627
-1.156 -5.072 4.474
1.853 1.080 6.966
S Sc Nd Ho
6 1 1 2
direct
0.399 0.712 0.756 S
0.712 0.133 0.756 S
0.934 0.598 0.246 S
0.597 0.222 0.246 S
0.222 0.934 0.246 S
0.133 0.399 0.756 S
0.320 0.320 0.040 Sc
0.810 0.811 0.568 Nd
0.520 0.520 0.441 Ho
0.013 0.013 0.960 Ho
```

A plane-wave DFT calculation with PBE was carried out for an optimized crystal structure of Nd2HoScS4.

- ΔE_f (raw) (eV/atom) = -1.96
- magnetization (μB/atom) = 0.00

```
Nd2HoScS4
1.0
3.871 0.000 0.000
0.000 6.737 0.122
0.000 -2.351 6.558
S Nd Ho Sc
4 2 1 1
direct
0.500 0.766 0.777 S
0.000 0.251 0.772 S
0.000 0.749 0.228 S
0.500 0.234 0.223 S
0.000 0.500 0.500 Nd
0.500 0.000 0.500 Nd
0.500 0.500 0.000 Ho
0.000 0.000 0.000 Sc
```

A plane-wave DFT calculation with PBE was carried out for an optimized crystal structure of NdHoSc2S4.

- ΔE_f (raw) (eV/atom) = -1.91
- magnetization (μB/atom) = 0.00

```
NdHoSc2S4
1.0
3.793 0.000 0.000
0.000 6.708 -0.177
0.000 2.318 6.224
Sc Nd Ho S
2 1 1 4
direct
0.000 0.000 0.000 Sc
0.500 0.000 0.500 Sc
0.500 0.500 0.000 Nd
0.000 0.500 0.500 Ho
0.500 0.769 0.251 S
0.000 0.225 0.266 S
0.000 0.775 0.734 S
0.500 0.231 0.749 S
```

A plane-wave DFT calculation with PBE was carried out for an optimized crystal structure of Nd3Ho3ScS8.

- ΔE_f (raw) (eV/atom) = -2.03
- magnetization (μB/atom) = 0.00

```
Nd3Ho3ScS8
1.0
7.848 0.000 0.000
-3.924 6.796 -0.024
0.000 -4.508 6.553
S Nd Ho Sc
8 3 3 1
direct
0.256 0.511 0.267 S
0.750 0.989 0.729 S
0.240 0.989 0.729 S
0.760 0.011 0.271 S
0.239 0.479 0.729 S
0.744 0.489 0.733 S
0.250 0.011 0.271 S
0.761 0.521 0.271 S
0.000 0.500 0.000 Nd
0.000 0.000 0.000 Nd
0.500 0.500 0.000 Nd
0.500 0.000 0.500 Ho
0.500 0.500 0.500 Ho
0.000 0.500 0.500 Ho
0.000 0.000 0.500 Sc
```

A plane-wave DFT calculation with PBE was carried out for an optimized crystal structure of NdHo2ScS4.

- ΔE_f (raw) (eV/atom) = -1.93
- magnetization (μB/atom) = 0.00

```
NdHo2ScS4
1.0
-2.228 -1.401 2.815
4.596 -4.888 1.206
1.448 5.348 3.808
S Sc Nd Ho
4 1 1 2
direct
0.500 0.764 0.754 S
0.000 0.766 0.257 S
0.500 0.236 0.246 S
0.000 0.234 0.743 S
0.000 0.000 0.000 Sc
0.500 0.500 0.000 Nd
0.500 0.000 0.500 Ho
0.000 0.500 0.500 Ho
```

A plane-wave DFT calculation with PBE was carried out for an optimized crystal structure of Nd2Ho2Se3S2.

- ΔE_f (raw) (eV/atom) = -1.52
- magnetization (μB/atom) = 0.00

```
Nd2Ho2Se3S2
1.0
5.626 0.000 0.000
0.000 5.626 0.000
-2.813 -2.813 7.249
Nd Ho S Se
2 2 2 3
direct
0.211 0.211 0.422 Nd
0.789 0.789 0.578 Nd
0.000 0.500 0.000 Ho
0.500 0.000 0.000 Ho
0.597 0.597 0.194 S
0.403 0.403 0.806 S
0.000 0.000 0.000 Se
0.750 0.250 0.500 Se
0.250 0.750 0.500 Se
```

A plane-wave DFT calculation with PBE was carried out for an optimized crystal structure of NdHoSeS2.

- ΔE_f (raw) (eV/atom) = -1.58
- magnetization (μB/atom) = 0.00

```
NdHoSeS2
1.0
6.265 0.000 0.000
0.000 6.281 0.000
0.000 -3.141 6.855
S Ho Nd Se
4 2 2 2
direct
0.500 0.251 0.000 S
0.000 0.251 0.000 S
0.500 0.749 0.000 S
0.000 0.749 0.000 S
0.250 0.900 0.800 Ho
0.750 0.100 0.200 Ho
0.250 0.620 0.240 Nd
0.750 0.380 0.760 Nd
0.750 0.750 0.501 Se
0.250 0.250 0.499 Se
```

A plane-wave DFT calculation with PBE was carried out for an optimized crystal structure of NdHoSeS.

- ΔE_f (raw) (eV/atom) = -1.88
- magnetization (μB/atom) = 0.00

```
NdHoSeS
1.0
-3.780 -1.134 0.015
2.735 -2.221 1.781
0.564 5.052 5.433
S Se Ho Nd
1 1 1 1
direct
0.296 0.546 0.858 S
0.976 0.386 0.377 Se
0.487 0.141 0.644 Ho
0.119 0.957 0.091 Nd
```

A plane-wave DFT calculation with PBE was carried out for an optimized crystal structure of NdSm4HoS8.

- ΔE_f (raw) (eV/atom) = -1.92
- magnetization (μB/atom) = 0.00

```
NdSm4HoS8
1.0
8.216 0.000 0.000
4.108 7.115 0.000
4.108 2.372 6.722
S Ho Sm Nd
8 1 4 1
direct
0.756 0.756 0.261 S
0.245 0.245 0.265 S
0.758 0.758 0.725 S
0.756 0.227 0.261 S
0.248 0.762 0.742 S
0.762 0.248 0.742 S
0.227 0.756 0.261 S
0.248 0.248 0.742 S
0.375 0.375 0.876 Ho
0.497 0.001 0.501 Sm
0.001 0.497 0.501 Sm
0.001 0.001 0.501 Sm
0.625 0.625 0.124 Sm
0.001 0.001 0.997 Nd
```

A plane-wave DFT calculation with PBE was carried out for an optimized crystal structure of Nd2SmHoS6.

- ΔE_f (raw) (eV/atom) = -2.03
- magnetization (μB/atom) = 0.00

```
Nd2SmHoS6
1.0
7.096 0.000 0.000
3.548 6.145 0.000
3.548 2.049 6.244
S Sm Ho Nd
6 1 1 2
direct
0.206 0.934 0.254 S
0.424 0.702 0.757 S
0.116 0.424 0.757 S
0.605 0.206 0.254 S
0.702 0.116 0.757 S
0.934 0.605 0.254 S
0.814 0.814 0.557 Sm
0.317 0.317 0.050 Ho
0.020 0.020 0.939 Nd
0.522 0.522 0.433 Nd
```

A plane-wave DFT calculation with PBE was carried out for an optimized crystal structure of Nd3Sm4HoS8.

- ΔE_f (raw) (eV/atom) = -2.01
- magnetization (μB/atom) = 0.00

```
Nd3Sm4HoS8
1.0
-6.208 4.159 -2.971
-4.420 -2.033 6.390
7.126 3.585 1.011
S Sm Nd Ho
8 4 3 1
direct
0.758 0.749 0.004 S
0.248 0.244 0.496 S
0.242 0.251 0.996 S
0.245 0.749 0.004 S
0.752 0.756 0.504 S
0.755 0.251 0.509 S
0.245 0.749 0.491 S
0.755 0.251 0.996 S
0.000 0.000 0.000 Sm
0.500 0.000 0.500 Sm
0.000 0.000 0.500 Sm
0.500 0.000 0.000 Sm
0.500 0.500 0.500 Nd
0.500 0.500 0.000 Nd
0.000 0.500 0.500 Nd
0.000 0.500 0.000 Ho
```

A plane-wave DFT calculation with PBE was carried out for an optimized crystal structure of NdSm2HoS4.

- ΔE_f (raw) (eV/atom) = -2.00
- magnetization (μB/atom) = 0.00

```
NdSm2HoS4
1.0
-0.092 3.742 -1.275
-6.866 0.115 0.836
-1.461 2.166 6.462
S Nd Sm Ho
4 1 2 1
direct
0.000 0.749 0.742 S
0.500 0.743 0.260 S
0.000 0.251 0.258 S
0.500 0.257 0.740 S
0.500 0.500 0.000 Nd
0.500 0.000 0.500 Sm
0.000 0.000 0.000 Sm
0.000 0.500 0.500 Ho
```

A plane-wave DFT calculation with PBE was carried out for an optimized crystal structure of NdSm4Ho3S8.

- ΔE_f (raw) (eV/atom) = -2.00
- magnetization (μB/atom) = 0.00

```
NdSm4Ho3S8
1.0
7.934 0.000 0.000
0.000 7.957 0.010
-3.967 -3.963 5.613
S Ho Nd Sm
8 3 1 4
direct
0.746 0.737 0.491 S
0.252 0.743 0.504 S
0.748 0.257 0.009 S
0.254 0.263 0.509 S
0.252 0.743 0.991 S
0.748 0.257 0.496 S
0.739 0.743 0.991 S
0.261 0.257 0.009 S
0.500 0.500 0.000 Ho
0.000 0.500 0.500 Ho
0.500 0.500 0.500 Ho
0.000 0.500 0.000 Nd
0.500 0.000 0.500 Sm
0.500 0.000 0.000 Sm
0.000 0.000 0.000 Sm
0.000 0.000 0.500 Sm
```

A plane-wave DFT calculation with PBE was carried out for an optimized crystal structure of Nd3Sm3HoS8.

- ΔE_f (raw) (eV/atom) = -2.06
- magnetization (μB/atom) = 0.00

```
Nd3Sm3HoS8
1.0
-6.120 -5.177 0.545
2.838 2.120 -7.211
4.414 -4.710 4.828
S Nd Sm Ho
8 3 3 1
direct
0.753 0.997 0.740 S
0.757 0.514 0.260 S
0.757 0.003 0.260 S
0.252 0.504 0.255 S
0.243 0.997 0.740 S
0.243 0.486 0.740 S
0.748 0.496 0.745 S
0.247 0.003 0.260 S
0.000 0.500 0.000 Nd
0.500 0.500 0.000 Nd
0.000 0.000 0.000 Nd
0.500 0.000 0.500 Sm
0.000 0.500 0.500 Sm
0.500 0.500 0.500 Sm
0.000 0.000 0.500 Ho
```

A plane-wave DFT calculation with PBE was carried out for an optimized crystal structure of Nd2SmHo3S6.

- ΔE_f (raw) (eV/atom) = -2.00
- magnetization (μB/atom) = 0.00

```
Nd2SmHo3S6
1.0
3.932 0.000 0.000
0.000 8.015 0.210
-1.966 -2.390 8.344
Sm S Ho Nd
1 6 3 2
direct
0.500 0.000 0.000 Sm
0.663 0.593 0.325 S
0.996 0.256 0.992 S
0.331 0.927 0.662 S
0.337 0.407 0.675 S
0.669 0.073 0.338 S
0.004 0.744 0.008 S
0.833 0.167 0.665 Ho
0.500 0.500 0.000 Ho
0.167 0.833 0.335 Ho
0.167 0.334 0.334 Nd
0.833 0.666 0.666 Nd
```

A plane-wave DFT calculation with PBE was carried out for an optimized crystal structure of Nd2Sm3HoS6.

- ΔE_f (raw) (eV/atom) = -2.02
- magnetization (μB/atom) = 0.00

```
Nd2Sm3HoS6
1.0
6.954 -0.010 -0.001
-3.484 6.019 -0.001
-1.158 -2.006 6.535
S Sm Nd Ho
6 3 2 1
direct
0.083 0.406 0.248 S
0.594 0.917 0.752 S
0.239 0.239 0.748 S
0.761 0.761 0.252 S
0.917 0.594 0.752 S
0.406 0.083 0.248 S
0.500 0.500 0.500 Sm
0.829 0.171 0.500 Sm
0.171 0.829 0.500 Sm
0.333 0.667 0.000 Nd
0.667 0.333 0.000 Nd
0.000 0.000 0.000 Ho
```

A plane-wave DFT calculation with PBE was carried out for an optimized crystal structure of NdSm2Ho3S6.

- ΔE_f (raw) (eV/atom) = -2.01
- magnetization (μB/atom) = 0.00

```
NdSm2Ho3S6
1.0
6.826 -0.011 -0.001
-3.421 5.907 -0.001
-1.137 -1.969 6.525
S Ho Sm Nd
6 3 2 1
direct
0.576 0.912 0.736 S
0.912 0.576 0.736 S
0.088 0.424 0.264 S
0.248 0.248 0.737 S
0.424 0.088 0.264 S
0.752 0.752 0.263 S
0.500 0.500 0.500 Ho
0.165 0.835 0.500 Ho
0.835 0.165 0.500 Ho
0.667 0.333 0.000 Sm
0.333 0.667 0.000 Sm
0.000 0.000 0.000 Nd
```

A plane-wave DFT calculation with PBE was carried out for an optimized crystal structure of NdSmHo4S8.

- ΔE_f (raw) (eV/atom) = -1.92
- magnetization (μB/atom) = 0.00

```
NdSmHo4S8
1.0
-3.454 -3.401 6.461
-3.103 -7.439 -0.525
3.685 -6.188 3.762
S Ho Nd Sm
8 4 1 1
direct
0.244 0.244 0.731 S
0.238 0.238 0.287 S
0.781 0.244 0.731 S
0.752 0.752 0.264 S
0.758 0.758 0.727 S
0.244 0.781 0.731 S
0.752 0.232 0.264 S
0.232 0.752 0.264 S
0.626 0.626 0.123 Ho
0.502 0.999 0.499 Ho
0.999 0.502 0.499 Ho
0.999 0.999 0.499 Ho
0.374 0.374 0.878 Nd
0.999 0.999 0.002 Sm
```

A plane-wave DFT calculation with PBE was carried out for an optimized crystal structure of SrNd2HoS4.

- ΔE_f (raw) (eV/atom) = -2.00
- magnetization (μB/atom) = 0.00

```
SrNd2HoS4
1.0
4.034 0.000 0.000
0.000 7.073 -0.178
0.000 2.454 6.591
Nd Sr S Ho
2 1 4 1
direct
0.500 0.000 0.500 Nd
0.000 0.000 0.000 Nd
0.500 0.500 0.000 Sr
0.000 0.252 0.261 S
0.500 0.261 0.736 S
0.000 0.748 0.739 S
0.500 0.739 0.264 S
0.000 0.500 0.500 Ho
```

A plane-wave DFT calculation with PBE was carried out for an optimized crystal structure of SrNdHo4S8.

- ΔE_f (raw) (eV/atom) = -1.98
- magnetization (μB/atom) = 0.00

```
SrNdHo4S8
1.0
8.142 0.000 0.000
4.071 7.052 0.000
4.071 2.351 6.751
Ho S Nd Sr
4 8 1 1
direct
0.495 0.002 0.502 Ho
0.625 0.625 0.124 Ho
0.002 0.495 0.502 Ho
0.002 0.002 0.502 Ho
0.231 0.751 0.266 S
0.751 0.231 0.266 S
0.758 0.758 0.727 S
0.791 0.242 0.725 S
0.242 0.242 0.725 S
0.235 0.235 0.295 S
0.751 0.751 0.266 S
0.242 0.791 0.725 S
0.002 0.002 0.995 Nd
0.373 0.373 0.880 Sr
```

A plane-wave DFT calculation with PBE was carried out for an optimized crystal structure of Sr2NdHoS4.

- ΔE_f (raw) (eV/atom) = -2.03
- magnetization (μB/atom) = 0.00

```
Sr2NdHoS4
1.0
4.077 0.000 0.000
0.000 7.068 0.125
0.000 -2.469 6.783
S Ho Sr Nd
4 1 2 1
direct
0.500 0.236 0.231 S
0.500 0.764 0.769 S
0.000 0.246 0.764 S
0.000 0.754 0.236 S
0.000 0.000 0.000 Ho
0.500 0.000 0.500 Sr
0.000 0.500 0.500 Sr
0.500 0.500 0.000 Nd
```

Calculated ρ, 4.7 6.0 5.5 5.9 6.4 6.7 5.6 7.3 4.9 4.9 6.6 6.8 7.0 5.9 7.1 6.7 7.2 5.3 5.9 4.9 5.2 g cm⁻³ (same order as the records).